Record 1
This record from Alexandria via LeMat-Bulk describes an optimized crystal structure of AlTcRu2. The functional is PBE.

Output
Spin magnetization (μB/atom): 0.44
Formation energy from the elements (eV/atom): -0.029
Crystal system: cubic
VASP energy (eV per cell): -32.778
Energy relative to the lowest polymorph listed for this composition (eV per formula unit): 1.10
Space group: No. 216
Fermi-level density of states (states/eV/f.u.): 4.8

Cell: 4.3252 4.3252 4.3252 Å, 60.00 60.00 60.00°
Closest atoms and distances in Å follow each position.
Positions (direct):
Al 0.0000 0.0000 0.0000  4 Ru 2.65, 4 Tc 2.65
Tc 0.2500 0.2500 0.2500  4 Ru 2.65, 4 Al 2.65
Ru 0.5000 0.5000 0.5000  4 Ru 2.65, 4 Tc 2.65
Ru 0.7500 0.7500 0.7500  4 Ru 2.65, 4 Al 2.65

Record 2
This record from Alexandria via LeMat-Bulk describes an optimized crystal structure of Nb6Al2V. The functional is PBE.

Output
Spin magnetization (μB/atom): 0.00
Formation energy from the elements (eV/atom): 0.467
Crystal system: monoclinic
VASP energy (eV per cell): -72.821
Space group: No. 12
Fermi-level density of states (states/eV/f.u.): 4.5

Cell: 7.4481 7.4481 4.6039 Å, 107.88 107.88 47.80°
Closest atoms and distances in Å follow each position.
Positions (direct):
Nb 0.0946 0.6134 0.3553  1 V 2.44, 1 Al 2.71
Nb 0.2499 0.7501 0.0000  2 V 2.75, 2 Al 2.77, 6 Nb 2.97-3.02
Nb 0.3866 0.9054 0.6447  1 V 2.44, 1 Al 2.71
Nb 0.6134 0.0946 0.3553  1 V 2.44, 1 Al 2.71
Nb 0.7501 0.2499 0.0000  2 V 2.75, 2 Al 2.77, 6 Nb 2.97-3.02
Nb 0.9054 0.3866 0.6447  1 V 2.44, 1 Al 2.71
Al 0.1812 0.1812 0.1794  8 Nb 2.71-2.77
Al 0.8188 0.8188 0.8206  8 Nb 2.71-2.77
V 0.5000 0.5000 0.5000  4 Nb 2.44

Record 3
This record from Alexandria via LeMat-Bulk describes an optimized crystal structure of La2Pr3PuN6. The functional is PBE.

Output
Spin magnetization (μB/atom): 0.35
Formation energy without anion corrections (eV/f.u.): -15.43
Crystal system: monoclinic
VASP energy (eV per cell): -103.903
Space group: No. 12
Fermi-level density of states (states/eV/f.u.): 8.1

Cell: 6.3532 6.3532 6.3363 Å, 99.66 99.66 119.95°
Closest atoms and distances in Å follow each position.
Positions (direct):
La 0.1663 0.8337 0.0000  6 N 2.62
La 0.8337 0.1663 0.0000  6 N 2.62
Pr 0.0000 0.0000 0.5000  6 N 2.58-2.72
Pr 0.3365 0.6635 0.5000  6 N 2.54-2.82
Pr 0.6635 0.3365 0.5000  6 N 2.54-2.82
Pu 0.5000 0.5000 0.0000  6 N 2.38-2.47
N 0.1178 0.4224 0.7661  1 Pu 2.38, 2 Pr 2.58, 2 La 2.62
N 0.2677 0.2677 0.2441  1 Pu 2.47, 3 Pr 2.54-2.72, 2 La 2.62
N 0.4224 0.1178 0.7661  1 Pu 2.38, 2 Pr 2.58, 2 La 2.62
N 0.5776 0.8822 0.2339  1 Pu 2.38, 2 Pr 2.58, 2 La 2.62
N 0.7323 0.7323 0.7559  1 Pu 2.47, 3 Pr 2.54-2.72, 2 La 2.62
N 0.8822 0.5776 0.2339  1 Pu 2.38, 2 Pr 2.58, 2 La 2.62

Record 4
This record from Alexandria via LeMat-Bulk describes an optimized crystal structure of Rb2HN. The functional is PBE.

Output
Spin magnetization (μB/atom): 0.50
Crystal system: tetragonal
VASP energy (eV per cell): -21.588
Energy relative to the lowest polymorph listed for this composition (eV per formula unit): 0.00
Space group: No. 122
Fermi-level density of states (states/eV/f.u.): 0.4

Cell: 6.9628 6.9628 6.9628 Å, 114.19 114.19 100.39°
Closest atoms and distances in Å follow each position.
Positions (direct):
Rb 0.1128 0.6250 0.9878  2 H 2.84, 2 N 2.96
Rb 0.3750 0.3628 0.4878  2 H 2.84, 2 N 2.96
Rb 0.6372 0.1250 0.0122  2 H 2.84, 2 N 2.96
Rb 0.8750 0.8872 0.5122  2 H 2.84, 2 N 2.96
H 0.0000 0.0000 0.0000  4 Rb 2.84
H 0.7500 0.2500 0.5000  4 Rb 2.84
N 0.2500 0.7500 0.5000  4 Rb 2.96
N 0.5000 0.5000 0.0000  4 Rb 2.96

Record 5
This record from Alexandria via LeMat-Bulk describes an optimized crystal structure of HoPu2Ga. The functional is PBE.

Output
Spin magnetization (μB/atom): 3.03
Formation energy from the elements (eV/atom): -0.041
Crystal system: tetragonal
VASP energy (eV per cell): -36.434
Energy relative to the lowest polymorph listed for this composition (eV per formula unit): 0.52
Space group: No. 123
Fermi-level density of states (states/eV/f.u.): 12.6

Cell: 3.9701 3.9701 6.3802 Å, 90.00 90.00 90.00°
Closest atoms and distances in Å follow each position.
Positions (direct):
Ho 0.0000 0.0000 0.0000  2 Ga 3.19, 8 Pu 3.32
Pu 0.5000 0.5000 0.2769  1 Pu 2.85, 4 Ga 3.15
Pu 0.5000 0.5000 0.7231  1 Pu 2.85, 4 Ga 3.15
Ga 0.0000 0.0000 0.5000  8 Pu 3.15, 2 Ho 3.19

Record 6
This record from Alexandria via LeMat-Bulk describes an optimized crystal structure of LaZn3Ga4. The functional is PBE.

Output
Spin magnetization (μB/atom): 0.00
Formation energy from the elements (eV/atom): -0.315
Crystal system: tetragonal
VASP energy (eV per cell): -23.379
Space group: No. 123
Fermi-level density of states (states/eV/f.u.): 1.9

Cell: 4.4254 4.4254 7.9017 Å, 90.00 90.00 90.00°
Closest atoms and distances in Å follow each position.
Positions (direct):
La 0.0000 0.0000 0.0000  8 Zn 3.35, 8 Ga 3.39
Zn 0.0000 0.0000 0.5000  8 Ga 2.61
Zn 0.5000 0.5000 0.1528  1 Zn 2.41, 4 Ga 2.59
Zn 0.5000 0.5000 0.8472  1 Zn 2.41, 4 Ga 2.59
Ga 0.0000 0.5000 0.3242  4 Zn 2.59-2.61, 1 Ga 2.78
Ga 0.0000 0.5000 0.6758  4 Zn 2.59-2.61, 1 Ga 2.78
Ga 0.5000 0.0000 0.3242  4 Zn 2.59-2.61, 1 Ga 2.78
Ga 0.5000 0.0000 0.6758  4 Zn 2.59-2.61, 1 Ga 2.78

Record 7
This record from Alexandria via LeMat-Bulk describes an optimized crystal structure of AlSbS2Cl. The functional is PBE.

Output
Spin magnetization (μB/atom): 0.03
Formation energy without anion corrections (eV/f.u.): 0.51
Crystal system: tetragonal
VASP energy (eV per cell): -17.456
Energy relative to the lowest polymorph listed for this composition (eV per formula unit): 2.04
Space group: No. 123
Fermi-level density of states (states/eV/f.u.): 3.3

Cell: 5.0800 5.0800 5.3332 Å, 90.00 90.00 90.00°
Closest atoms and distances in Å follow each position.
Positions (direct):
Al 0.0000 0.0000 0.0000  4 Cl 3.59, 8 S 3.68
Sb 0.5000 0.5000 0.5000  4 S 2.54, 2 Cl 2.67
S 0.0000 0.5000 0.5000  2 Sb 2.54
S 0.5000 0.0000 0.5000  2 Sb 2.54
Cl 0.5000 0.5000 0.0000  2 Sb 2.67

What is the VASP energy in the second record? -72.821 eV per cell

What is the VASP energy in the first record? -32.778 eV per cell

VASP energy of number 4 (Rb2HN)? -21.588 eV per cell